1.
# CeNd2Pt (PBE-GGA, optimized geometry)
data_CeNd2Pt
_chemical_formula_sum 'Ce1 Nd2 Pt1'
_cell_length_a 3.647
_cell_length_b 3.647
_cell_length_c 8.513
_cell_angle_alpha 90.00
_cell_angle_beta 90.00
_cell_angle_gamma 90.00
_space_group_name_H-M_alt 'P 4/m m m'
_space_group_IT_number 123
_space_group_name_Hall '-P 4 2'
loop_
_atom_site_label
_atom_site_fract_x
_atom_site_fract_y
_atom_site_fract_z
_atom_site_occupancy
Ce1 0.000 0.000 0.000 1
Nd1 0.500 0.500 0.299 1
Pt1 0.000 0.000 0.500 1
# * energy above the most stable polymorph in this dataset: 123 meV/atom
# * D(E_F): 7.78 states/eV per cell
# * calculated density: 9.15 g/cm³
# * M_tot: 1.395 μB per cell
# * calculated formation energy: -0.44 eV per atom
# * VASP energy: -5.8151 eV/atom
# * volume: 113 Å³/cell

2.
# CeNdPt6 (PBE-GGA, optimized geometry)
data_CeNdPt6
_chemical_formula_sum 'Ce1 Nd1 Pt6'
_cell_length_a 4.188
_cell_length_b 4.188
_cell_length_c 8.357
_cell_angle_alpha 90.00
_cell_angle_beta 90.00
_cell_angle_gamma 90.00
_space_group_name_H-M_alt 'P 4/m m m'
_space_group_IT_number 123
_space_group_name_Hall '-P 4 2'
loop_
_atom_site_label
_atom_site_fract_x
_atom_site_fract_y
_atom_site_fract_z
_atom_site_occupancy
Ce1 0.000 0.000 0.000 1
Nd1 0.000 0.000 0.500 1
Pt1 0.000 0.500 0.243 1
Pt2 0.500 0.500 0.000 1
Pt3 0.500 0.500 0.500 1
# * energy above the most stable polymorph in this dataset: 0 meV/atom
# * D(E_F): 3.57 states/eV per cell
# * calculated density: 16.48 g/cm³
# * M_tot: 0.092 μB per cell
# * calculated formation energy: -0.95 eV per atom
# * VASP energy: -6.8163 eV/atom
# * volume: 147 Å³/cell

Question: Among the records above, which one has the lowest volume?
Answer: CeNd2Pt

Question: The highest calculated formation energy belongs to which entry?
Answer: CeNd2Pt